VASP calculation (PBE+U) on an optimized crystal structure of GaNiPtO6.

Total DFT energy (no corrections) (eV/f.u.): -47.9
Calculated volume (Å³ per cell): 192.8
D(E_F) (states/eV per cell): 12.4

Geometry as CIF:
```
data_GaNiPtO6
_chemical_formula_sum 'Ga2 Ni2 Pt2 O12'
_space_group_name_H-M_alt 'P -3 1 c'
_space_group_IT_number 163
_space_group_name_Hall '-P 3 2c'
_cell_length_a 5.1296
_cell_length_b 5.1296
_cell_length_c 8.4586
_cell_angle_alpha 90.00
_cell_angle_beta 90.00
_cell_angle_gamma 120.00
loop_
_atom_site_label
_atom_site_type_symbol
_atom_site_fract_x
_atom_site_fract_y
_atom_site_fract_z
_atom_site_occupancy
Ga1 Ga 0.3333 0.6667 0.2500 1
Ni1 Ni 0.0000 0.0000 0.0000 1
Pt1 Pt 0.3333 0.6667 0.7500 1
O1 O 0.0021 0.3496 0.6257 1
```